# Ce4Hf3ZrP8

A relaxed Ce4Hf3ZrP8 crystal (GGA-PBE, Alexandria via LeMat-Bulk).

Cell and atoms, written as CIF:
```
data_Ce4Hf3ZrP8
_chemical_formula_sum 'Ce12 Hf9 Zr3 P24'
_symmetry_space_group_name_H-M 'R -3 m'
_symmetry_Int_Tables_number 166
_symmetry_space_group_name_Hall '-R 3 2"'
_cell_length_a 7.7527
_cell_length_b 7.7527
_cell_length_c 19.0934
_cell_angle_alpha 90.00
_cell_angle_beta 90.00
_cell_angle_gamma 120.00
loop_
_atom_site_label
_atom_site_fract_x
_atom_site_fract_y
_atom_site_fract_z
Ce1 0.0000 0.0000 0.0000
Ce2 0.0000 0.5000 0.0000
Hf1 0.0000 0.5000 0.5000
Zr1 0.0000 0.0000 0.5000
P1 0.0000 0.0000 0.2420
P2 0.0022 0.5011 0.7574
```

## Properties
Total magnetization: 0.0 μB per formula unit
DFT formation energy: -2220 kJ/mol of formula units
Uncorrected energy: -385.293 eV for the cell shown
Theoretical density: 7.2 Mg/m³



# Ce2HfZrP4

A relaxed Ce2HfZrP4 crystal (GGA-PBE, Alexandria via LeMat-Bulk).

Cell and atoms, written as CIF:
```
data_Ce2HfZrP4
_chemical_formula_sum 'Ce2 Hf1 Zr1 P4'
_symmetry_space_group_name_H-M 'P 1 2/m 1'
_symmetry_Int_Tables_number 10
_symmetry_space_group_name_Hall '-P 2y'
_cell_length_a 6.7264
_cell_length_b 3.8794
_cell_length_c 6.7567
_cell_angle_alpha 90.00
_cell_angle_beta 109.34
_cell_angle_gamma 90.00
loop_
_atom_site_label
_atom_site_fract_x
_atom_site_fract_y
_atom_site_fract_z
Ce1 0.0000 0.0000 0.0000
Ce2 0.5000 0.5000 0.0000
Hf1 0.0000 0.5000 0.5000
Zr1 0.5000 0.0000 0.5000
P1 0.2403 0.0000 0.7276
P2 0.2547 0.5000 0.2707
```

## Properties
Total magnetization: 0.0 μB per formula unit
DFT formation energy: -1117 kJ/mol of formula units
Uncorrected energy: -63.588 eV for the cell shown
Theoretical density: 6.7 Mg/m³



# CeHf2Pa

A relaxed CeHf2Pa crystal (GGA-PBE, Alexandria via LeMat-Bulk).

Cell and atoms, written as CIF:
```
data_CeHf2Pa
_chemical_formula_sum 'Ce3 Hf6 Pa3'
_symmetry_space_group_name_H-M 'R -3 m'
_symmetry_Int_Tables_number 166
_symmetry_space_group_name_Hall '-R 3 2"'
_cell_length_a 5.1687
_cell_length_b 5.1687
_cell_length_c 13.1379
_cell_angle_alpha 90.00
_cell_angle_beta 90.00
_cell_angle_gamma 120.00
loop_
_atom_site_label
_atom_site_fract_x
_atom_site_fract_y
_atom_site_fract_z
Ce1 0.0000 0.0000 0.0000
Hf1 0.0000 0.0000 0.2259
Pa1 0.0000 0.0000 0.5000
```

## Properties
Distance to the lowest polymorph of the same formula: 0.1691 eV/atom
Total magnetization: 0.0 μB per formula unit
DFT formation energy: 120 kJ/mol of formula units
Uncorrected energy: -102.265 eV for the cell shown
Theoretical density: 11.9 Mg/m³



# CeHf2Pa

A relaxed CeHf2Pa crystal (GGA-PBE, Alexandria via LeMat-Bulk).

Cell and atoms, written as CIF:
```
data_CeHf2Pa
_chemical_formula_sum 'Ce1 Hf2 Pa1'
_symmetry_space_group_name_H-M 'P 4/m m m'
_symmetry_Int_Tables_number 123
_symmetry_space_group_name_Hall '-P 4 2'
_cell_length_a 4.4501
_cell_length_b 4.4501
_cell_length_c 4.9221
_cell_angle_alpha 90.00
_cell_angle_beta 90.00
_cell_angle_gamma 90.00
loop_
_atom_site_label
_atom_site_fract_x
_atom_site_fract_y
_atom_site_fract_z
Ce1 0.0000 0.0000 0.0000
Hf1 0.0000 0.5000 0.5000
Pa1 0.5000 0.5000 0.0000
```

## Properties
Distance to the lowest polymorph of the same formula: 0.0173 eV/atom
Total magnetization: 0.0 μB per formula unit
DFT formation energy: 62 kJ/mol of formula units
Uncorrected energy: -34.695 eV for the cell shown
Theoretical density: 12.4 Mg/m³



# Ce2Hf2Pa15

A relaxed Ce2Hf2Pa15 crystal (GGA-PBE, Alexandria via LeMat-Bulk).

Cell and atoms, written as CIF:
```
data_Ce2Hf2Pa15
_chemical_formula_sum 'Ce6 Hf6 Pa45'
_symmetry_space_group_name_H-M 'R -3 m'
_symmetry_Int_Tables_number 166
_symmetry_space_group_name_Hall '-R 3 2"'
_cell_length_a 10.3908
_cell_length_b 10.3908
_cell_length_c 15.5572
_cell_angle_alpha 90.00
_cell_angle_beta 90.00
_cell_angle_gamma 120.00
loop_
_atom_site_label
_atom_site_fract_x
_atom_site_fract_y
_atom_site_fract_z
Ce1 0.0000 0.0000 0.0942
Hf1 0.0000 0.0000 0.3334
Pa1 0.0000 0.3267 0.0000
Pa2 0.0000 0.5000 0.5000
Pa3 0.0144 0.5072 0.1627
```

## Properties
Total magnetization: 0.0 μB per formula unit
DFT formation energy: 505 kJ/mol of formula units
Uncorrected energy: -506.936 eV for the cell shown
Theoretical density: 14.1 Mg/m³



# Ce2HfPa4

A relaxed Ce2HfPa4 crystal (GGA-PBE, Alexandria via LeMat-Bulk).

Cell and atoms, written as CIF:
```
data_Ce2HfPa4
_chemical_formula_sum 'Ce6 Hf3 Pa12'
_symmetry_space_group_name_H-M 'R -3 m'
_symmetry_Int_Tables_number 166
_symmetry_space_group_name_Hall '-R 3 2"'
_cell_length_a 3.2640
_cell_length_b 3.2640
_cell_length_c 56.7286
_cell_angle_alpha 90.00
_cell_angle_beta 90.00
_cell_angle_gamma 120.00
loop_
_atom_site_label
_atom_site_fract_x
_atom_site_fract_y
_atom_site_fract_z
Ce1 0.0000 0.0000 0.0717
Hf1 0.0000 0.0000 0.5000
Pa1 0.0000 0.0000 0.2133
Pa2 0.0000 0.0000 0.3571
```

## Properties
Total magnetization: 0.0 μB per formula unit
DFT formation energy: 35 kJ/mol of formula units
Uncorrected energy: -178.337 eV for the cell shown
Theoretical density: 13.2 Mg/m³



# CeHf2Pa

A relaxed CeHf2Pa crystal (GGA-PBE, Alexandria via LeMat-Bulk).

Cell and atoms, written as CIF:
```
data_CeHf2Pa
_chemical_formula_sum 'Ce3 Hf6 Pa3'
_symmetry_space_group_name_H-M 'R 3 m'
_symmetry_Int_Tables_number 160
_symmetry_space_group_name_Hall 'R 3 -2"'
_cell_length_a 3.2237
_cell_length_b 3.2237
_cell_length_c 32.6160
_cell_angle_alpha 90.00
_cell_angle_beta 90.00
_cell_angle_gamma 120.00
loop_
_atom_site_label
_atom_site_fract_x
_atom_site_fract_y
_atom_site_fract_z
Ce1 0.0000 0.0000 0.0000
Hf1 0.0000 0.0000 0.5809
Hf2 0.0000 0.0000 0.7513
Pa1 0.0000 0.0000 0.1663
```

## Properties
Distance to the lowest polymorph of the same formula: 0.0000 eV/atom
Total magnetization: 0.0 μB per formula unit
DFT formation energy: 55 kJ/mol of formula units
Uncorrected energy: -104.294 eV for the cell shown
Theoretical density: 12.4 Mg/m³



# CeHf2Pa

A relaxed CeHf2Pa crystal (GGA-PBE, Alexandria via LeMat-Bulk).

Cell and atoms, written as CIF:
```
data_CeHf2Pa
_chemical_formula_sum 'Ce1 Hf2 Pa1'
_symmetry_space_group_name_H-M 'P 4/m m m'
_symmetry_Int_Tables_number 123
_symmetry_space_group_name_Hall '-P 4 2'
_cell_length_a 3.8618
_cell_length_b 3.8618
_cell_length_c 6.8276
_cell_angle_alpha 90.00
_cell_angle_beta 90.00
_cell_angle_gamma 90.00
loop_
_atom_site_label
_atom_site_fract_x
_atom_site_fract_y
_atom_site_fract_z
Ce1 0.0000 0.0000 0.0000
Hf1 0.5000 0.5000 0.2841
Pa1 0.0000 0.0000 0.5000
```

## Properties
Distance to the lowest polymorph of the same formula: 0.0845 eV/atom
Total magnetization: 0.4 μB per formula unit
DFT formation energy: 88 kJ/mol of formula units
Uncorrected energy: -34.427 eV for the cell shown
Theoretical density: 11.9 Mg/m³